{
  "formula": "HoEr4Tm2Sc",
  "functional": "PBE",
  "state": "relaxed",
  "lattice": [[4.913, 0.000, 0.000], [0.000, 4.913, 0.000], [0.000, 0.000, 9.823]],
  "species": ["Ho", "Er", "Er", "Er", "Er", "Tm", "Tm", "Sc"],
  "frac_coords": [[0.000, 0.000, 0.000], [0.000, 0.500, 0.254], [0.000, 0.500, 0.746], [0.500, 0.000, 0.254], [0.500, 0.000, 0.746], [0.000, 0.000, 0.500], [0.500, 0.500, 0.000], [0.500, 0.500, 0.500]],
  "vol_a3_per_cell": 237,
  "ef_mev_per_atom": 35,
  "sg": "P4/mmm (123)",
  "magmom_total_mub_per_cell": 0.0
}